1.
Entry from Alexandria via LeMat-Bulk: Fe3RuRh at its PBEsol-relaxed geometry (meta-GGA SCAN).

Summary:
* energy: -115.971 eV for the cell shown

Lattice parameters (Å, degrees): 4.4203 4.4203 4.4203 90.00 90.00 90.00
Each line ends with the local moment (μB).
Fractional positions:
Fe  0.0000  0.0000  0.5000  3.37
Ru  0.5000  0.5000  0.5000  1.98
Rh  0.0000  0.0000  0.0000  0.80
Fe  0.0000  0.5000  0.0000  3.37
Fe  0.5000  0.0000  0.0000  3.37



2.
Entry from Alexandria via LeMat-Bulk: TiMnNi3 at its PBEsol-relaxed geometry (meta-GGA SCAN).

Summary:
* energy: -78.536 eV for the cell shown

Lattice parameters (Å, degrees): 4.1411 4.1411 4.1411 90.00 90.00 90.00
Each line ends with the local moment (μB).
Fractional positions:
Ni  0.5000  0.0000  0.0000  0.58
Ti  0.5000  0.5000  0.5000  -1.17
Ni  0.0000  0.5000  0.0000  0.58
Mn  0.0000  0.0000  0.0000  2.98
Ni  0.0000  0.0000  0.5000  0.58



3.
Entry from Alexandria via LeMat-Bulk: KTa2Re at its PBEsol-relaxed geometry (meta-GGA SCAN).

Summary:
* energy: -207.044 eV for the cell shown

Lattice parameters (Å, degrees): 2.6571 5.5805 5.5805 115.87 90.00 90.00
Fractional positions:
Re  0.5000  0.5000  0.5000
K  0.5000  0.0000  0.0000
Ta  0.0000  0.5000  0.0000
Ta  0.0000  0.0000  0.5000



4.
Entry from Alexandria via LeMat-Bulk: Ca7TlN4 at its PBEsol-relaxed geometry (meta-GGA SCAN).

Summary:
* formation energy from raw total energies: -1074 kJ/mol of formula units

Lattice parameters (Å, degrees): 3.5614 11.5582 11.9647 90.00 90.00 90.00
Fractional positions:
Ca  0.0001  0.2327  0.0703
Ca  0.5002  0.0000  0.0000
Ca  0.9998  0.5217  0.2665
Ca  0.9999  0.7327  0.4297
N  0.0001  0.8714  0.1015
Ca  0.4999  0.7348  0.6721
N  0.9999  0.3714  0.3985
Tl  0.4981  0.5000  0.0000
N  0.4999  0.6416  0.3323
N  0.5001  0.1416  0.1677
Ca  0.9998  0.4783  0.7335
N  0.5001  0.8584  0.8323
Ca  0.0001  0.7673  0.9297
Ca  0.0002  0.9783  0.7665
N  0.0001  0.1286  0.8985
N  0.4999  0.3584  0.6677
Tl  0.5019  0.0000  0.5000
Ca  0.5001  0.2348  0.8279
Ca  0.9999  0.2673  0.5703
Ca  0.4998  0.5000  0.5000
Ca  0.5001  0.7652  0.1721
N  0.9999  0.6286  0.6015
Ca  0.4999  0.2652  0.3279
Ca  0.0002  0.0217  0.2335



5.
Entry from Alexandria via LeMat-Bulk: LiScCu2 at its PBEsol-relaxed geometry (meta-GGA SCAN).

Summary:
* energy: -46.335 eV for the cell shown

Lattice parameters (Å, degrees): 2.8712 2.8712 8.6615 80.46 80.46 60.00
Fractional positions:
Li  0.5000  0.5000  0.5000
Sc  0.0000  0.0000  0.0000
Cu  0.7522  0.7522  0.7435
Cu  0.2478  0.2478  0.2565



6.
Entry from Alexandria via LeMat-Bulk: AlHg5 at its PBEsol-relaxed geometry (meta-GGA SCAN).

Summary:
* energy: -348.228 eV for the cell shown

Lattice parameters (Å, degrees): 3.1027 5.8057 7.9036 101.95 90.00 105.50
Fractional positions:
Hg  0.2874  0.5747  0.7271
Hg  0.7364  0.4729  0.3877
Hg  0.4513  0.9027  0.2171
Hg  0.0193  0.0386  0.5711
Al  0.9785  0.9570  0.9173
Hg  0.6937  0.3874  0.0131



7.
Entry from Alexandria via LeMat-Bulk: ZnSbCl2 at its PBEsol-relaxed geometry (meta-GGA SCAN).

Summary:
* formation energy from raw total energies: -217 kJ/mol of formula units

Lattice parameters (Å, degrees): 3.2837 5.2586 5.4732 100.36 90.00 90.00
Fractional positions:
Zn  0.5000  0.3898  0.1577
Cl  0.5000  0.3774  0.7400
Sb  0.0000  0.7240  0.4710
Cl  0.0000  0.0088  0.1313



8.
Entry from Alexandria via LeMat-Bulk: GaTe2CN at its PBEsol-relaxed geometry (meta-GGA SCAN).

Summary:
* formation energy from raw total energies: 412 kJ/mol of formula units

Lattice parameters (Å, degrees): 2.6138 6.3264 6.3264 90.00 90.00 90.00
Fractional positions:
Te  0.0000  0.0000  0.5000
C  0.0000  0.0000  0.0000
N  0.5000  0.0000  0.0000
Te  0.0000  0.5000  0.0000
Ga  0.5000  0.5000  0.5000



9.
Entry from Alexandria via LeMat-Bulk: NbIn2BiP at its PBEsol-relaxed geometry (meta-GGA SCAN).

Summary:
* energy: -181.473 eV for the cell shown

Lattice parameters (Å, degrees): 5.2131 5.5857 5.5857 90.00 90.00 90.00
Each line ends with the local moment (μB).
Fractional positions:
P  0.5000  0.0000  0.0000  -0.20
Nb  0.5000  0.5000  0.5000  2.74
In  0.0000  0.0000  0.5000  0.01
Bi  0.0000  0.0000  0.0000  -0.01
In  0.0000  0.5000  0.0000  0.01



10.
Entry from Alexandria via LeMat-Bulk: ReSBrN2 at its PBEsol-relaxed geometry (meta-GGA SCAN).

Summary:
* formation energy from raw total energies: 316 kJ/mol of formula units

Lattice parameters (Å, degrees): 3.8170 3.8170 5.1089 90.00 90.00 90.00
Fractional positions:
N  0.5000  0.0000  0.0000
Br  0.5000  0.5000  0.5000
S  0.0000  0.0000  0.5000
Re  0.0000  0.0000  0.0000
N  0.0000  0.5000  0.0000



11.
Entry from Alexandria via LeMat-Bulk: MgTaP at its PBEsol-relaxed geometry (meta-GGA SCAN).

Summary:
* energy: -78.368 eV for the cell shown

Lattice parameters (Å, degrees): 4.2741 4.2741 4.2741 60.00 60.00 60.00
Fractional positions:
P  0.0000  0.0000  0.0000
Ta  0.5000  0.5000  0.5000
Mg  0.2500  0.2500  0.2500



12.
Entry from Alexandria via LeMat-Bulk: Be2TlSe at its PBEsol-relaxed geometry (meta-GGA SCAN).

Summary:
* formation energy from raw total energies: 301 kJ/mol of formula units

Lattice parameters (Å, degrees): 4.2972 4.7314 4.2972 62.99 90.00 117.01
Fractional positions:
Be  0.7500  0.5000  0.7500
Be  0.2500  0.5000  0.2500
Tl  0.0000  0.0000  0.0000
Se  0.5000  0.0000  0.5000



no.,DOS(E_F) (states/eV/cell)
1,5.37
2,8.07
3,3.42
4,5.19
5,1.83
6,2.10
7,1.26
8,1.12
9,4.44
10,2.39
11,3.88
12,1.62